[1]
Compound: ZnSiTcO6
Source: Alexandria
Functional: GGA-PBE
Structure: relaxed

```
data_ZnSiTcO6
_chemical_formula_sum 'Zn2 Si2 Tc2 O12'
_symmetry_space_group_name_H-M 'P -3 1 c'
_symmetry_Int_Tables_number 163
_symmetry_space_group_name_Hall '-P 3 2c'
_cell_length_a 4.9145
_cell_length_b 4.9145
_cell_length_c 8.9459
_cell_angle_alpha 90.00
_cell_angle_beta 90.00
_cell_angle_gamma 120.00
loop_
_atom_site_label
_atom_site_type_symbol
_atom_site_fract_x
_atom_site_fract_y
_atom_site_fract_z
Zn1 Zn 0.0000 0.0000 0.0000
Si1 Si 0.3333 0.6667 0.2500
Tc1 Tc 0.3333 0.6667 0.7500
O1 O 0.0214 0.3712 0.1385
```

Calculated values
E_form (uncorrected): -1.656 eV/atom

[2]
Compound: NiMo2P
Source: Alexandria
Functional: GGA-PBE
Structure: relaxed

```
data_NiMo2P
_chemical_formula_sum 'Ni1 Mo2 P1'
_symmetry_space_group_name_H-M 'P 4 m m'
_symmetry_Int_Tables_number 99
_cell_length_a 2.9093
_cell_length_b 2.9093
_cell_length_c 6.5150
_cell_angle_alpha 90.00
_cell_angle_beta 90.00
_cell_angle_gamma 90.00
loop_
_symmetry_equiv_pos_as_xyz
'x,y,z'
'-y,x,z'
'-x,-y,z'
'y,-x,z'
'-x,y,z'
'y,x,z'
'x,-y,z'
'-y,-x,z'
loop_
_atom_site_label
_atom_site_type_symbol
_atom_site_fract_x
_atom_site_fract_y
_atom_site_fract_z
Ni1 Ni 0.0000 0.0000 0.0000
Mo1 Mo 0.0000 0.0000 0.4258
Mo2 Mo 0.5000 0.5000 0.7392
P1 P 0.5000 0.5000 0.2133
```

Calculated values
E_form: 13 meV per atom

[3]
Compound: Pm2Tm9Th
Source: Alexandria
Functional: GGA-PBE
Structure: relaxed

```
data_Pm2Tm9Th
_chemical_formula_sum 'Pm2 Tm9 Th1'
_symmetry_space_group_name_H-M 'P 4/m m m'
_symmetry_Int_Tables_number 123
_symmetry_space_group_name_Hall '-P 4 2'
_cell_length_a 5.7590
_cell_length_b 5.7590
_cell_length_c 11.2766
_cell_angle_alpha 90.00
_cell_angle_beta 90.00
_cell_angle_gamma 90.00
loop_
_atom_site_label
_atom_site_type_symbol
_atom_site_fract_x
_atom_site_fract_y
_atom_site_fract_z
Pm1 Pm 0.0000 0.0000 0.1738
Tm1 Tm 0.0000 0.5000 0.0000
Tm2 Tm 0.0000 0.5000 0.3339
Tm3 Tm 0.5000 0.5000 0.1660
Tm4 Tm 0.5000 0.5000 0.5000
Th1 Th 0.0000 0.0000 0.5000
```

Calculated values
E_form: 123 meV per atom

[4]
Compound: K2ScMn
Source: Alexandria
Functional: GGA-PBE
Structure: relaxed

```
data_K2ScMn
_chemical_formula_sum 'K4 Sc2 Mn2'
_symmetry_space_group_name_H-M 'C m m m'
_symmetry_Int_Tables_number 65
_symmetry_space_group_name_Hall '-C 2 2'
_cell_length_a 6.6125
_cell_length_b 12.6449
_cell_length_c 3.3207
_cell_angle_alpha 90.00
_cell_angle_beta 90.00
_cell_angle_gamma 90.00
loop_
_atom_site_label
_atom_site_type_symbol
_atom_site_fract_x
_atom_site_fract_y
_atom_site_fract_z
K1 K 0.2500 0.2500 0.0000
Sc1 Sc 0.0000 0.0000 0.5000
Mn1 Mn 0.0000 0.5000 0.5000
```

Calculated values
E_form: 972 meV per atom

[5]
Compound: EuPd3S4
Source: Alexandria
Functional: GGA-PBE
Structure: relaxed

```
data_EuPd3S4
_chemical_formula_sum 'Eu2 Pd6 S8'
_symmetry_space_group_name_H-M 'P m -3 n'
_symmetry_Int_Tables_number 223
_symmetry_space_group_name_Hall '-P 4n 2 3'
_cell_length_a 6.7414
_cell_length_b 6.7414
_cell_length_c 6.7414
_cell_angle_alpha 90.00
_cell_angle_beta 90.00
_cell_angle_gamma 90.00
loop_
_atom_site_label
_atom_site_type_symbol
_atom_site_fract_x
_atom_site_fract_y
_atom_site_fract_z
Eu1 Eu 0.0000 0.0000 0.0000
Pd1 Pd 0.0000 0.2500 0.5000
S1 S 0.2500 0.2500 0.2500
```

Calculated values
E_form (uncorrected): -0.837 eV/atom

[6]
Compound: Cs2Rb4Ag
Source: Alexandria
Functional: GGA-PBE
Structure: relaxed

```
data_Cs2Rb4Ag
_chemical_formula_sum 'Cs4 Rb8 Ag2'
_symmetry_space_group_name_H-M 'I 4/m m m'
_symmetry_Int_Tables_number 139
_symmetry_space_group_name_Hall '-I 4 2'
_cell_length_a 7.0971
_cell_length_b 7.0971
_cell_length_c 25.0875
_cell_angle_alpha 90.00
_cell_angle_beta 90.00
_cell_angle_gamma 90.00
loop_
_atom_site_label
_atom_site_type_symbol
_atom_site_fract_x
_atom_site_fract_y
_atom_site_fract_z
Cs1 Cs 0.0000 0.0000 0.1637
Rb1 Rb 0.0000 0.0000 0.3585
Rb2 Rb 0.0000 0.5000 0.0000
Ag1 Ag 0.0000 0.0000 0.5000
```

Calculated values
E_form: 62 meV per atom

[7]
Compound: MoS2BrN
Source: Alexandria
Functional: GGA-PBE
Structure: relaxed

```
data_MoS2BrN
_chemical_formula_sum 'Mo1 S2 Br1 N1'
_symmetry_space_group_name_H-M 'P 4/m m m'
_symmetry_Int_Tables_number 123
_symmetry_space_group_name_Hall '-P 4 2'
_cell_length_a 4.9634
_cell_length_b 4.9634
_cell_length_c 3.6656
_cell_angle_alpha 90.00
_cell_angle_beta 90.00
_cell_angle_gamma 90.00
loop_
_atom_site_label
_atom_site_type_symbol
_atom_site_fract_x
_atom_site_fract_y
_atom_site_fract_z
Mo1 Mo 0.0000 0.0000 0.0000
S1 S 0.0000 0.5000 0.5000
Br1 Br 0.5000 0.5000 0.5000
N1 N 0.5000 0.5000 0.0000
```

Calculated values
E_form (uncorrected): 1.827 eV/atom

[8]
Compound: Mn2AgMo
Source: Alexandria
Functional: GGA-PBE
Structure: relaxed

```
data_Mn2AgMo
_chemical_formula_sum 'Mn2 Ag1 Mo1'
_symmetry_space_group_name_H-M 'P 4/m m m'
_symmetry_Int_Tables_number 123
_symmetry_space_group_name_Hall '-P 4 2'
_cell_length_a 3.1083
_cell_length_b 3.1083
_cell_length_c 6.3231
_cell_angle_alpha 90.00
_cell_angle_beta 90.00
_cell_angle_gamma 90.00
loop_
_atom_site_label
_atom_site_type_symbol
_atom_site_fract_x
_atom_site_fract_y
_atom_site_fract_z
Mn1 Mn 0.0000 0.0000 0.2255
Ag1 Ag 0.5000 0.5000 0.5000
Mo1 Mo 0.5000 0.5000 0.0000
```

Calculated values
E_form: 300 meV per atom

The records above give, respectively, M_tot values of 1.021 0.000 0.000 4.710 6.642 0.000 3.599 5.440 μB per formula unit.